Entry from Alexandria via LeMat-Bulk: TaIn2Si after structural relaxation (PBE).

abc: 3.087 4.692 5.481
angles: 90.00 90.06 90.00
Fractional coordinates of all 4 atoms:
Ta (0.000, 0.000, 0.000)
In (0.497, 0.500, 0.751)
In (0.503, 0.500, 0.249)
Si (0.000, 0.000, 0.500)

Computed properties:
Density of states at the Fermi level ... 0.472 states/eV per atom
Formation energy without anion corrections ... 0.38 eV/atom
Volume ... 79.4 Å³/cell
Symmetry ... P2/m, No. 10
Spin magnetization ... 0.000 μB/atom